First-principles (PBE) data for a relaxed structure of PaMnTeS2, as listed in Alexandria.

Calculated values
Uncorrected formation energy = -0.991 eV per atom
Size of the total moment = 4.0 μB/f.u.

```
10
Lattice="7.5741 0.0000 0.0000 0.0000 3.9259 0.0000 -3.0016 0.0000 7.8148" Properties=species:S:1:pos:R:3 pbc="T T T"
Pa 0.9568 0.9815 1.7099
Pa 3.6158 2.9444 6.1049
Mn -0.7678 2.9444 5.3074
Mn 5.3404 0.9815 2.5075
Te 1.3037 0.9815 5.0906
Te 3.2688 2.9444 2.7243
S -0.6136 2.9444 2.8134
S -1.5658 2.9444 7.6331
S 6.1383 0.9815 0.1817
S 5.1861 0.9815 5.0014
```

First-principles (PBE) data for a relaxed structure of ThPa2MnS8, as listed in Alexandria.

Calculated values
Uncorrected formation energy = -1.394 eV per atom
Size of the total moment = 5.0 μB/f.u.

```
12
Lattice="6.1461 0.0000 0.0000 0.0000 8.1414 0.0000 -0.2461 0.0000 6.2814" Properties=species:S:1:pos:R:3 pbc="T T T"
Th 0.0000 0.0000 0.0000
Pa 2.9500 2.1014 3.1407
Pa 2.9500 6.0400 3.1407
Mn 0.0000 4.0707 0.0000
S 1.2943 2.1944 1.0957
S 1.2943 5.9469 1.0957
S 1.5987 0.0000 4.1526
S 1.5979 4.0707 4.2219
S 4.3012 0.0000 2.1289
S 4.3020 4.0707 2.0596
S 4.6056 2.1944 5.1857
S 4.6056 5.9469 5.1857
```

First-principles (PBE) data for a relaxed structure of PaTiMnS6, as listed in Alexandria.

Calculated values
Uncorrected formation energy = -1.031 eV per atom
Size of the total moment = 4.0 μB/f.u.

```
9
Lattice="6.1229 0.0000 0.0000 -3.0615 5.3026 0.0000 0.0000 0.0000 5.9322" Properties=species:S:1:pos:R:3 pbc="T T T"
Pa 0.0000 0.0000 0.0000
Ti 3.0615 1.7675 2.9661
Mn 0.0000 3.5351 2.9661
S -1.0563 1.8521 1.6019
S -1.9857 3.4617 4.3304
S 1.0563 1.8521 4.3304
S -0.9293 5.2914 1.6019
S 1.9857 3.4617 1.6019
S 0.9293 5.2914 4.3304
```

First-principles (PBE) data for a relaxed structure of PaMn4TlS8, as listed in Alexandria.

Calculated values
Uncorrected formation energy = -0.730 eV per atom
Size of the total moment = 9.1 μB/f.u.

```
14
Lattice="3.7522 2.1663 6.2494 -3.7522 2.1663 6.2494 0.0000 -4.3327 6.2494" Properties=species:S:1:pos:R:3 pbc="T T T"
Pa 0.0000 0.0000 0.0000
Mn -1.8142 -1.0474 15.6379
Mn 0.0000 0.0000 11.8891
Mn 1.8142 -1.0474 15.6379
Mn 0.0000 2.0948 15.6379
Tl 0.0000 0.0000 6.7874
S 0.0000 0.0000 4.2364
S -1.9095 -1.1024 10.8994
S 0.0000 -2.3239 8.0171
S -2.0125 1.1619 8.0171
S 1.9095 -1.1024 10.8994
S 0.0000 2.2049 10.8994
S 0.0000 0.0000 14.2790
S 2.0125 1.1619 8.0171
```

First-principles (PBE) data for a relaxed structure of PaMn2Tl3S6, as listed in Alexandria.

Calculated values
Uncorrected formation energy = -0.803 eV per atom
Size of the total moment = 10.0 μB/f.u.

```
12
Lattice="3.2967 -5.7128 0.0000 3.2967 5.7128 0.0000 -2.1953 0.0000 7.5956" Properties=species:S:1:pos:R:3 pbc="T T T"
Pa 0.0000 0.0000 0.0000
Mn 3.2967 1.9051 0.0000
Mn 3.2967 -1.9051 0.0000
Tl 2.1991 3.8160 3.7978
Tl 2.1991 0.0000 3.7978
Tl 2.1991 -3.8160 3.7978
S 1.1197 1.9375 1.4400
S 0.0417 0.0000 6.1569
S 1.1197 -1.9375 1.4400
S 3.2784 1.9375 6.1556
S 4.3565 0.0000 1.4387
S 3.2784 -1.9375 6.1556
```

First-principles (PBE) data for a relaxed structure of PaMnTl2S4, as listed in Alexandria.

Calculated values
Uncorrected formation energy = -0.871 eV per atom
Size of the total moment = 4.3 μB/f.u.

```
8
Lattice="6.3506 0.0000 0.0000 0.0000 3.9370 0.0000 -0.2898 0.0000 7.9738" Properties=species:S:1:pos:R:3 pbc="T T T"
Pa 0.0000 0.0000 0.0000
Mn 3.1753 1.9685 0.0000
Tl -0.1449 0.0000 3.9869
Tl 3.0304 1.9685 3.9869
S 0.8046 1.9685 6.4859
S 2.1855 0.0000 1.4526
S 3.8754 0.0000 6.5213
S 5.2562 1.9685 1.4880
```

First-principles (PBE) data for a relaxed structure of PaMnTl2S6, as listed in Alexandria.

Calculated values
Uncorrected formation energy = -0.660 eV per atom
Size of the total moment = 2.7 μB/f.u.

```
10
Lattice="3.4572 1.9960 5.5627 -3.4572 1.9960 5.5627 0.0000 -3.9920 5.5627" Properties=species:S:1:pos:R:3 pbc="T T T"
Pa 0.0000 0.0000 0.0000
Mn 0.0000 0.0000 8.3441
Tl 0.0000 0.0000 4.0979
Tl 0.0000 0.0000 12.5902
S -1.8347 0.5324 7.0101
S -1.3784 -1.3227 9.6781
S 0.4563 -1.8551 7.0101
S -0.4563 1.8551 9.6781
S 1.3784 1.3227 7.0101
S 1.8347 -0.5324 9.6781
```

First-principles (PBE) data for a relaxed structure of TmPaMn2S8, as listed in Alexandria.

Calculated values
Uncorrected formation energy = -0.898 eV per atom
Size of the total moment = 6.0 μB/f.u.

```
12
Lattice="-3.1319 3.1319 6.4704 3.1319 -3.1319 6.4704 3.1319 3.1319 -6.4704" Properties=species:S:1:pos:R:3 pbc="T T T"
Tm 0.0000 0.0000 0.0000
Pa 3.1319 0.0000 3.2352
Mn 0.0000 0.0000 6.4704
Mn 0.0000 3.1319 3.2352
S 1.7517 -0.9557 5.4869
S 2.1762 1.3802 0.9835
S -1.0123 1.3829 2.2594
S 1.3802 4.0876 -0.9835
S 1.7490 2.1196 4.2110
S 0.9557 1.7517 7.4539
S 1.0123 4.8809 2.2594
S -1.7490 4.1442 4.2110
```

First-principles (PBE) data for a relaxed structure of Tm2PaMnS6, as listed in Alexandria.

Calculated values
Uncorrected formation energy = -1.197 eV per atom
Size of the total moment = 4.0 μB/f.u.

```
10
Lattice="6.6717 0.0000 0.0000 0.0000 6.6717 0.0000 0.0000 0.0000 5.7465" Properties=species:S:1:pos:R:3 pbc="T T T"
Tm 0.0000 3.3359 0.0000
Tm 3.3359 0.0000 0.0000
Pa 0.0000 0.0000 3.8302
Mn 3.3359 3.3359 5.1224
S 0.0000 0.0000 1.1620
S 1.7551 1.7551 4.4189
S 1.7551 4.9166 4.4189
S 3.3359 3.3359 1.5570
S 4.9166 1.7551 4.4189
S 4.9166 4.9166 4.4189
```

First-principles (PBE) data for a relaxed structure of TmPaMnS6, as listed in Alexandria.

Calculated values
Uncorrected formation energy = -1.160 eV per atom
Size of the total moment = 3.0 μB/f.u.

```
9
Lattice="6.3284 0.0000 0.0000 -3.1642 5.4806 0.0000 0.0000 0.0000 5.8797" Properties=species:S:1:pos:R:3 pbc="T T T"
Tm 0.0000 0.0000 0.0000
Pa 3.1642 1.8269 2.9399
Mn 0.0000 3.6537 0.0000
S -1.0046 2.0255 1.4035
S -1.9124 3.5978 4.4762
S 1.0046 2.0255 4.4762
S -0.9078 5.3379 1.4035
S 1.9124 3.5978 1.4035
S 0.9078 5.3379 4.4762
```

First-principles (PBE) data for a relaxed structure of UPaMnS6, as listed in Alexandria.

Calculated values
Uncorrected formation energy = -1.055 eV per atom
Size of the total moment = 0.0 μB/f.u.

```
9
Lattice="6.1681 0.0000 0.0000 -3.0841 5.3417 0.0000 0.0000 0.0000 6.0693" Properties=species:S:1:pos:R:3 pbc="T T T"
U 0.0000 0.0000 0.0000
Pa 3.0841 1.7806 3.0346
Mn 0.0000 3.5612 0.0000
S -0.9663 1.9722 1.4260
S -1.8593 3.5188 4.6433
S 0.9663 1.9722 4.6433
S -0.8930 5.1925 1.4260
S 1.8593 3.5188 1.4260
S 0.8930 5.1925 4.6433
```